# 1
Here is a relaxed structure of SrMn2Si from Alexandria via LeMat-Bulk. Energies are from PBE.

extended XYZ file:
```
4
Lattice="-3.236 1.209 -2.152 -3.750 -0.537 1.489 -2.087 5.225 2.211" Properties=species:S:1:pos:R:3 pbc="T T T"
Mn -2.140 4.124 1.675
Mn -4.483 4.049 1.309
Si -6.804 4.423 1.160
Sr -2.268 1.474 0.387
```

Output
crystal system	monoclinic
volume	19.964	Å³ per atom
total moment	0.00	μB per atom
uncorrected formation energy	-77	meV per atom
mass density	4.7	g cm⁻³

---

# 2
Here is a relaxed structure of LiTb2Pb2 from Alexandria via LeMat-Bulk. Energies are from PBE.

extended XYZ file:
```
10
Lattice="6.404 0.000 0.000 0.000 6.602 0.000 -3.202 -3.301 6.523" Properties=species:S:1:pos:R:3 pbc="T T T"
Li 4.803 3.301 0.000
Li 1.601 3.301 0.000
Tb 3.202 1.879 4.706
Tb 0.000 1.421 1.817
Tb 3.202 5.180 1.817
Tb 0.000 -1.879 4.706
Pb 0.000 1.573 4.982
Pb 3.202 1.728 1.541
Pb 0.000 4.873 1.541
Pb 3.202 -1.573 4.982
```

Output
crystal system	orthorhombic
formation energy from the elements	-0.38	eV/atom
volume	27.579	Å³ per atom
total moment	0.00	μB per atom
mass density	8.9	g cm⁻³

---

# 3
Here is a relaxed structure of Fe2PbBr from Alexandria via LeMat-Bulk. Energies are from PBE.

extended XYZ file:
```
4
Lattice="-0.434 0.253 -3.337 -1.670 -2.223 1.913 -6.242 5.762 1.248" Properties=species:S:1:pos:R:3 pbc="T T T"
Br -5.733 3.336 0.224
Fe -6.152 5.679 1.231
Fe -3.210 2.963 0.642
Pb -2.612 0.455 -0.400
```

Output
crystal system	orthorhombic
E above lowest polymorph	0.4913	eV per atom
volume	20.481	Å³ per atom
total moment	1.45	μB per atom
uncorrected formation energy	686	meV per atom
mass density	8.1	g cm⁻³

---

# 4
Here is a relaxed structure of Nd3CdBr3 from Alexandria via LeMat-Bulk. Energies are from PBE.

extended XYZ file:
```
7
Lattice="6.108 0.000 0.000 0.000 6.108 0.000 0.000 0.000 6.108" Properties=species:S:1:pos:R:3 pbc="T T T"
Nd 3.054 0.000 3.054
Nd 3.054 3.054 0.000
Nd 0.000 3.054 3.054
Cd 3.054 3.054 3.054
Br 0.000 3.054 0.000
Br 0.000 0.000 3.054
Br 3.054 0.000 0.000
```

Output
crystal system	cubic
volume	32.552	Å³ per atom
total moment	0.00	μB per atom
uncorrected formation energy	-1150	meV per atom
mass density	5.7	g cm⁻³

---

# 5
Here is a relaxed structure of NbHW2 from Alexandria via LeMat-Bulk. Energies are from PBE.

extended XYZ file:
```
4
Lattice="3.288 -0.666 -2.821 2.253 -3.759 0.107 -0.449 -2.917 -3.241" Properties=species:S:1:pos:R:3 pbc="T T T"
H 0.000 0.000 0.000
Nb 2.546 -3.671 -2.977
W 1.273 -1.835 -1.489
W 3.819 -5.506 -4.466
```

Output
crystal system	cubic
E above lowest polymorph	0.6627	eV per atom
volume	14.889	Å³ per atom
total moment	0.00	μB per atom
mass density	12.9	g cm⁻³

---

# 6
Here is a relaxed structure of Nd8Sm3Th from Alexandria via LeMat-Bulk. Energies are from PBE.

extended XYZ file:
```
12
Lattice="8.083 -1.768 -3.663 -5.350 6.817 0.174 -0.290 2.144 8.402" Properties=species:S:1:pos:R:3 pbc="T T T"
Nd 2.563 0.317 -1.032
Nd 0.626 4.041 4.627
Nd 3.203 4.124 -1.610
Nd -0.796 6.305 6.800
Nd 1.142 2.605 1.162
Nd 6.307 0.246 -1.062
Nd 4.375 3.932 4.612
Nd 2.646 5.527 1.888
Sm -1.015 5.621 1.889
Sm 2.884 1.066 3.905
Sm 4.874 2.527 1.202
Th 6.552 0.977 3.888
```

Output
crystal system	triclinic
formation energy from the elements	0.06	eV/atom
volume	34.614	Å³ per atom
total moment	0.00	μB per atom
mass density	7.3	g cm⁻³

---

# 7
Here is a relaxed structure of SrAc6La3 from Alexandria via LeMat-Bulk. Energies are from PBE.

extended XYZ file:
```
20
Lattice="-3.229 -1.337 1.700 7.948 -9.340 7.754 -0.099 12.469 9.619" Properties=species:S:1:pos:R:3 pbc="T T T"
Sr -2.175 7.601 8.509
Sr 6.795 -5.810 10.563
Ac 1.487 2.876 11.751
Ac 3.133 -1.084 7.321
Ac 3.979 -7.639 8.216
Ac 0.641 9.431 10.856
Ac 0.329 -2.757 5.120
Ac 4.291 4.548 13.952
Ac 3.265 -4.043 9.687
Ac 1.356 5.835 9.385
Ac -1.393 3.832 7.032
Ac 6.013 -2.040 12.040
Ac 3.688 0.658 14.189
Ac 0.932 1.134 4.883
La 0.857 6.309 13.254
La 3.763 -4.517 5.819
La 2.508 -0.568 10.982
La 2.112 2.360 8.090
La -1.813 -0.581 2.763
La 6.433 2.373 16.310
```

Output
crystal system	monoclinic
formation energy from the elements	0.07	eV/atom
volume	43.616	Å³ per atom
total moment	0.00	μB per atom
mass density	7.1	g cm⁻³

---

# 8
Here is a relaxed structure of MgIn2Os from Alexandria via LeMat-Bulk. Energies are from PBE.

extended XYZ file:
```
4
Lattice="5.249 -0.002 -0.022 2.000 4.853 0.022 -3.611 -2.445 2.921" Properties=species:S:1:pos:R:3 pbc="T T T"
In 0.000 0.000 0.000
In 2.631 -0.011 1.450
Mg 3.624 2.425 0.000
Os 1.007 2.417 1.471
```

Output
crystal system	tetragonal
formation energy from the elements	0.22	eV/atom
volume	18.607	Å³ per atom
total moment	0.00	μB per atom
mass density	9.9	g cm⁻³

---

mass density of number 7 (SrAc6La3)? 7.1 g cm⁻³